Record 1
This record from Alexandria via LeMat-Bulk describes MnSn3O after structural relaxation. The functional is PBE with a Hubbard U.

Cell and atoms, written as CIF:
```
data_MnSn3O
_symmetry_space_group_name_H-M 'P 1'
_symmetry_Int_Tables_number 1
_cell_length_a 4.808
_cell_length_b 4.808
_cell_length_c 4.808
_cell_angle_alpha 90.00
_cell_angle_beta 90.00
_cell_angle_gamma 90.00
loop_
_symmetry_equiv_pos_as_xyz
'x,y,z'
loop_
_atom_site_label
_atom_site_type_symbol
_atom_site_fract_x
_atom_site_fract_y
_atom_site_fract_z
Sn1 Sn 0.000 0.500 0.000
Sn2 Sn 0.000 0.000 0.500
Sn3 Sn 0.500 0.000 0.000
O1 O 0.000 0.000 0.000
Mn1 Mn 0.500 0.500 0.500
```

Results
- N(E_F) (states/eV per atom) = 0.226
- volume (Å³/cell) = 111
- E_tot (Ry per atom) = -0.3653
- size of the total moment (μB/f.u.) = 4.9
- space-group type = Pm-3m, No. 221

Record 2
This record from Alexandria via LeMat-Bulk describes Mn2SnO4 after structural relaxation. The functional is PBE with a Hubbard U.

Cell and atoms, written as CIF:
```
data_Mn2SnO4
_symmetry_space_group_name_H-M 'P 1'
_symmetry_Int_Tables_number 1
_cell_length_a 3.281
_cell_length_b 5.458
_cell_length_c 6.213
_cell_angle_alpha 120.32
_cell_angle_beta 105.31
_cell_angle_gamma 90.00
loop_
_symmetry_equiv_pos_as_xyz
'x,y,z'
loop_
_atom_site_label
_atom_site_type_symbol
_atom_site_fract_x
_atom_site_fract_y
_atom_site_fract_z
O1 O 0.612 0.278 0.223
O2 O 0.388 0.722 0.777
O3 O 0.868 0.135 0.737
O4 O 0.132 0.865 0.263
Sn1 Sn 0.000 0.000 0.000
Mn1 Mn 0.684 0.712 0.369
Mn2 Mn 0.316 0.288 0.631
```

Results
- volume (Å³/cell) = 91
- E_tot (Ry per atom) = -0.5249
- size of the total moment (μB/f.u.) = 10.0
- space-group type = C2/m, No. 12

Record 3
This record from Alexandria via LeMat-Bulk describes Mn2SnO4 after structural relaxation. The functional is PBE with a Hubbard U.

Cell and atoms, written as CIF:
```
data_Mn2SnO4
_symmetry_space_group_name_H-M 'P 1'
_symmetry_Int_Tables_number 1
_cell_length_a 3.173
_cell_length_b 5.449
_cell_length_c 9.741
_cell_angle_alpha 90.00
_cell_angle_beta 90.00
_cell_angle_gamma 90.00
loop_
_symmetry_equiv_pos_as_xyz
'x,y,z'
loop_
_atom_site_label
_atom_site_type_symbol
_atom_site_fract_x
_atom_site_fract_y
_atom_site_fract_z
O1 O 0.000 0.854 0.198
O2 O 0.000 0.646 0.698
O3 O 0.500 0.754 0.958
O4 O 0.500 0.246 0.042
O5 O 0.000 0.146 0.802
O6 O 0.500 0.254 0.542
O7 O 0.500 0.746 0.458
O8 O 0.000 0.354 0.302
Mn1 Mn 0.500 0.058 0.321
Mn2 Mn 0.500 0.442 0.821
Mn3 Mn 0.500 0.558 0.179
Mn4 Mn 0.500 0.942 0.679
Sn1 Sn 0.000 0.500 0.500
Sn2 Sn 0.000 0.000 0.000
```

Results
- N(E_F) (states/eV per atom) = 0.001
- volume (Å³/cell) = 168
- E_tot (Ry per atom) = -0.5281
- size of the total moment (μB/f.u.) = 10.0
- space-group type = Pbam, No. 55

Record 4
This record from Alexandria via LeMat-Bulk describes Mn5SnO8 after structural relaxation. The functional is PBE with a Hubbard U.

Cell and atoms, written as CIF:
```
data_Mn5SnO8
_symmetry_space_group_name_H-M 'P 1'
_symmetry_Int_Tables_number 1
_cell_length_a 6.136
_cell_length_b 6.332
_cell_length_c 6.136
_cell_angle_alpha 61.02
_cell_angle_beta 90.00
_cell_angle_gamma 118.98
loop_
_symmetry_equiv_pos_as_xyz
'x,y,z'
loop_
_atom_site_label
_atom_site_type_symbol
_atom_site_fract_x
_atom_site_fract_y
_atom_site_fract_z
O1 O 0.646 0.755 0.122
O2 O 0.098 0.738 0.631
O3 O 0.631 0.262 0.098
O4 O 0.631 0.262 0.640
O5 O 0.122 0.245 0.109
O6 O 0.109 0.755 0.122
O7 O 0.640 0.738 0.631
O8 O 0.122 0.245 0.646
Mn1 Mn 0.385 0.256 0.872
Mn2 Mn 0.872 0.744 0.385
Mn3 Mn 0.871 0.256 0.872
Mn4 Mn 0.500 0.000 0.500
Mn5 Mn 0.872 0.744 0.871
Sn1 Sn 0.250 0.500 0.250
```

Results
- N(E_F) (states/eV per atom) = 0.374
- volume (Å³/cell) = 174
- E_tot (Ry per atom) = -0.5412
- size of the total moment (μB/f.u.) = 23.0
- space-group type = I-4m2, No. 119

Record 5
This record from Alexandria via LeMat-Bulk describes Mn5Sn3O12 after structural relaxation. The functional is PBE with a Hubbard U.

Cell and atoms, written as CIF:
```
data_Mn5Sn3O12
_symmetry_space_group_name_H-M 'P 1'
_symmetry_Int_Tables_number 1
_cell_length_a 3.197
_cell_length_b 9.236
_cell_length_c 9.236
_cell_angle_alpha 120.00
_cell_angle_beta 90.00
_cell_angle_gamma 90.00
loop_
_symmetry_equiv_pos_as_xyz
'x,y,z'
loop_
_atom_site_label
_atom_site_type_symbol
_atom_site_fract_x
_atom_site_fract_y
_atom_site_fract_z
O1 O 0.000 0.000 0.819
O2 O 0.000 0.000 0.529
O3 O 0.000 0.819 0.000
O4 O 0.000 0.471 0.471
O5 O 0.500 0.191 0.450
O6 O 0.500 0.741 0.550
O7 O 0.000 0.181 0.181
O8 O 0.500 0.450 0.191
O9 O 0.000 0.529 0.000
O10 O 0.500 0.550 0.741
O11 O 0.500 0.259 0.809
O12 O 0.500 0.809 0.259
Mn1 Mn 0.000 0.000 0.310
Mn2 Mn 0.000 0.333 0.667
Mn3 Mn 0.000 0.310 0.000
Mn4 Mn 0.000 0.667 0.333
Mn5 Mn 0.000 0.690 0.690
Sn1 Sn 0.500 0.324 0.324
Sn2 Sn 0.500 0.676 0.000
Sn3 Sn 0.500 0.000 0.676
```

Results
- N(E_F) (states/eV per atom) = 0.420
- volume (Å³/cell) = 236
- E_tot (Ry per atom) = -0.5079
- size of the total moment (μB/f.u.) = 23.0
- space-group type = P-62m, No. 189

Record 6
This record from Alexandria via LeMat-Bulk describes Mn2SnO4 after structural relaxation. The functional is PBE with a Hubbard U.

Cell and atoms, written as CIF:
```
data_Mn2SnO4
_symmetry_space_group_name_H-M 'P 1'
_symmetry_Int_Tables_number 1
_cell_length_a 6.315
_cell_length_b 6.399
_cell_length_c 6.399
_cell_angle_alpha 89.47
_cell_angle_beta 119.57
_cell_angle_gamma 60.43
loop_
_symmetry_equiv_pos_as_xyz
'x,y,z'
loop_
_atom_site_label
_atom_site_type_symbol
_atom_site_fract_x
_atom_site_fract_y
_atom_site_fract_z
O1 O 0.766 0.837 0.368
O2 O 0.234 0.368 0.837
O3 O 0.734 0.413 0.882
O4 O 0.266 0.882 0.413
O5 O 0.726 0.874 0.874
O6 O 0.226 0.376 0.376
O7 O 0.774 0.376 0.376
O8 O 0.274 0.874 0.874
Mn1 Mn 0.000 0.015 0.015
Mn2 Mn 0.750 0.625 0.625
Mn3 Mn 0.500 0.235 0.235
Mn4 Mn 0.250 0.625 0.625
Sn1 Sn 0.250 0.125 0.625
Sn2 Sn 0.750 0.625 0.125
```

Results
- N(E_F) (states/eV per atom) = 0.122
- volume (Å³/cell) = 184
- E_tot (Ry per atom) = -0.5299
- size of the total moment (μB/f.u.) = 10.0
- space-group type = Imma, No. 74